# 1
This record from the Alexandria database describes a relaxed structure of SrI3. The functional is PBE-GGA.

a b c (Å): 6.012 6.012 6.012
angles (deg): 60.00 60.00 60.00
Sites, in units of the cell vectors:
I 0.500 0.500 0.500
I 0.750 0.750 0.750
I 0.250 0.250 0.250
Sr 0.000 0.000 0.000

The value obtained for the magnetization is 1.00 μB/f.u. As for the crystal system: cubic. The density of states at the Fermi level comes out at 6.964 states/eV/f.u. For the electronic total energy, the calculation gives -2.468 eV/atom. Its space group is Fm-3m.

# 2
This record from the Alexandria database describes a relaxed structure of Ti2NiPd. The functional is PBE-GGA.

a b c (Å): 3.009 3.009 6.528
angles (deg): 90.00 90.00 90.00
Sites, in units of the cell vectors:
Ti 0.000 0.000 0.769
Ti 0.000 0.000 0.231
Pd 0.500 0.500 0.500
Ni 0.500 0.500 0.000

The value obtained for the magnetization is 0.00 μB/f.u. As for the crystal system: tetragonal. The density of states at the Fermi level comes out at 5.116 states/eV/f.u. Its space group is P4/mmm. The value obtained for the formation energy from the elements is -416 meV per atom.

# 3
This record from the Alexandria database describes a relaxed structure of K2LaZn. The functional is PBE-GGA.

a b c (Å): 10.640 10.640 8.144
angles (deg): 49.22 49.22 90.00
Sites, in units of the cell vectors:
La 0.000 0.000 0.000
La 0.750 0.250 0.500
Zn 0.500 0.500 0.000
Zn 0.250 0.750 0.500
K 0.546 0.125 0.250
K 0.875 0.796 0.750
K 0.375 0.454 0.750
K 0.204 0.625 0.250

The value obtained for the magnetization is 0.00 μB/f.u. As for the crystal system: tetragonal. The density of states at the Fermi level comes out at 4.410 states/eV/f.u. Its space group is I-42d. The value obtained for the formation energy from the elements is 458 meV per atom.

# 4
This record from the Alexandria database describes a relaxed structure of Cs3Ag2GeBr6. The functional is PBE-GGA.

a b c (Å): 8.322 8.322 9.019
angles (deg): 90.00 90.00 120.00
Sites, in units of the cell vectors:
Br 0.841 0.159 0.690
Br 0.159 0.841 0.310
Br 0.682 0.841 0.310
Br 0.318 0.159 0.690
Br 0.841 0.682 0.690
Br 0.159 0.318 0.310
Cs 0.000 0.000 0.000
Cs 0.667 0.333 0.367
Cs 0.333 0.667 0.633
Ag 0.333 0.667 0.201
Ag 0.667 0.333 0.799
Ge 0.000 0.000 0.500

The value obtained for the magnetization is 0.00 μB/f.u. As for the crystal system: trigonal. The density of states at the Fermi level comes out at 4.753 states/eV/f.u. For the electronic total energy, the calculation gives -2.816 eV/atom. Its space group is P-3m1.

# 5
This record from the Alexandria database describes a relaxed structure of LaAl4Zn2Cu. The functional is PBE-GGA.

a b c (Å): 4.366 4.366 9.320
angles (deg): 76.45 76.45 60.00
Sites, in units of the cell vectors:
La 0.000 0.000 0.000
Al 0.593 0.593 0.222
Al 0.866 0.866 0.401
Al 0.407 0.407 0.778
Al 0.134 0.134 0.599
Cu 0.500 0.500 0.500
Zn 0.248 0.248 0.255
Zn 0.752 0.752 0.745

The value obtained for the magnetization is 0.00 μB/f.u. As for the crystal system: trigonal. The density of states at the Fermi level comes out at 2.141 states/eV/f.u. Its space group is R-3m. The value obtained for the formation energy from the elements is -200 meV per atom.

# 6
This record from the Alexandria database describes a relaxed structure of KIn6Pd4. The functional is PBE-GGA.

a b c (Å): 7.145 7.145 7.145
angles (deg): 89.20 120.47 120.47
Sites, in units of the cell vectors:
In 0.000 0.523 0.887
In 0.500 0.000 0.500
In 0.364 0.477 0.477
In 0.636 0.113 0.113
In 0.000 0.887 0.523
In 0.500 0.500 0.000
Pd 0.333 0.746 0.746
Pd 0.667 0.413 0.413
Pd 0.000 0.587 0.254
Pd 0.000 0.254 0.587
K 0.000 0.000 0.000

The value obtained for the magnetization is 0.00 μB/f.u. As for the crystal system: tetragonal. The density of states at the Fermi level comes out at 6.247 states/eV/f.u. Its space group is I-42m. The value obtained for the formation energy from the elements is -379 meV per atom.

# 7
This record from the Alexandria database describes a relaxed structure of KZr2BiO6. The functional is PBE-GGA.

a b c (Å): 5.920 5.920 5.920
angles (deg): 60.00 60.00 60.00
Sites, in units of the cell vectors:
O 0.500 0.000 0.500
O 0.000 0.500 0.000
O 0.000 0.500 0.500
O 0.500 0.000 0.000
O 0.500 0.500 0.000
O 0.000 0.000 0.500
Bi 0.000 0.000 0.000
K 0.500 0.500 0.500
Zr 0.250 0.250 0.250
Zr 0.750 0.750 0.750

The value obtained for the magnetization is 0.00 μB/f.u. As for the crystal system: cubic. For the electronic total energy, the calculation gives -7.553 eV/atom. Its space group is Fm-3m.

# 8
This record from the Alexandria database describes a relaxed structure of TbGa3Ir3. The functional is PBE-GGA.

a b c (Å): 6.937 6.937 7.649
angles (deg): 63.03 63.03 60.00
Sites, in units of the cell vectors:
Ga 0.055 0.881 0.694
Ga 0.945 0.119 0.306
Ga 0.370 0.055 0.694
Ga 0.630 0.945 0.306
Ga 0.119 0.630 0.306
Ga 0.881 0.370 0.694
Ir 0.527 0.329 0.326
Ir 0.329 0.818 0.326
Ir 0.818 0.527 0.326
Ir 0.182 0.473 0.674
Ir 0.671 0.182 0.674
Ir 0.473 0.671 0.674
Tb 0.678 0.678 0.965
Tb 0.322 0.322 0.035

The value obtained for the magnetization is 0.00 μB/f.u. As for the crystal system: trigonal. The density of states at the Fermi level comes out at 4.491 states/eV/f.u. Its space group is R-3. The value obtained for the formation energy from the elements is -386 meV per atom.

Values of calculated volume, in order: 154; 59; 353; 541; 148; 256; 147; 272, all in Å³ per cell.